a.
## LaPr3Rh3 (PBE)

Data for crystalline LaPr3Rh3 at its relaxed geometry.

D(E_F) = 20.9 states/eV per cell
Magnetic moment = 0.00 μB/f.u.
Calculated volume = 183.7 Å³/f.u.

Cell and atoms, written as CIF:
```
data_LaPr3Rh3
_cell_length_a 9.598
_cell_length_b 10.557
_cell_length_c 7.253
_cell_angle_alpha 90.00
_cell_angle_beta 90.52
_cell_angle_gamma 90.00
_space_group_name_H-M_alt 'C 1 2/m 1'
_space_group_IT_number 12
_space_group_name_Hall '-C 2y'
loop_
_atom_site_label
_atom_site_type_symbol
_atom_site_fract_x
_atom_site_fract_y
_atom_site_fract_z
La1 La 0.247 0.000 0.131
Pr1 Pr 0.000 0.180 0.500
Pr2 Pr 0.000 0.248 0.000
Pr3 Pr 0.173 0.500 0.377
Rh1 Rh 0.066 0.000 0.806
Rh2 Rh 0.246 0.258 0.720
```


b.
## LaPr3Rh3 (PBE)

Data for crystalline LaPr3Rh3 at its relaxed geometry.

D(E_F) = 16.2 states/eV per cell
Magnetic moment = 0.00 μB/f.u.
Calculated volume = 198.2 Å³/f.u.

Cell and atoms, written as CIF:
```
data_LaPr3Rh3
_cell_length_a 11.680
_cell_length_b 11.680
_cell_length_c 5.810
_cell_angle_alpha 90.00
_cell_angle_beta 90.00
_cell_angle_gamma 90.00
_space_group_name_H-M_alt 'P 42/m n m'
_space_group_IT_number 136
_space_group_name_Hall '-P 4n 2n'
loop_
_atom_site_label
_atom_site_type_symbol
_atom_site_fract_x
_atom_site_fract_y
_atom_site_fract_z
La1 La 0.124 0.124 0.000
Pr1 Pr 0.119 0.625 0.000
Pr2 Pr 0.130 0.870 0.500
Rh1 Rh 0.118 0.882 0.000
Rh2 Rh 0.127 0.367 0.000
```


Unit: kJ/mol of atoms. Relative energies: a 1.8; b 0.0.


a.
## La2PrRu (PBE)

Data for crystalline La2PrRu at its relaxed geometry.

D(E_F) = 17.7 states/eV per cell
Magnetic moment = 0.00 μB/f.u.
Calculated volume = 122.1 Å³/f.u.

Cell and atoms, written as CIF:
```
data_La2PrRu
_cell_length_a 7.424
_cell_length_b 10.041
_cell_length_c 6.550
_cell_angle_alpha 90.00
_cell_angle_beta 90.00
_cell_angle_gamma 90.00
_space_group_name_H-M_alt 'P n m a'
_space_group_IT_number 62
_space_group_name_Hall '-P 2ac 2n'
loop_
_atom_site_label
_atom_site_type_symbol
_atom_site_fract_x
_atom_site_fract_y
_atom_site_fract_z
La1 La 0.173 0.070 0.171
Pr1 Pr 0.045 0.250 0.649
Ru1 Ru 0.108 0.750 0.926
```


b.
## La2PrRu (PBE)

Data for crystalline La2PrRu at its relaxed geometry.

D(E_F) = 13.5 states/eV per cell
Magnetic moment = 0.00 μB/f.u.
Calculated volume = 133.0 Å³/f.u.

Cell and atoms, written as CIF:
```
data_La2PrRu
_cell_length_a 4.0413
_cell_length_b 4.0413
_cell_length_c 28.2030
_cell_angle_alpha 90.00
_cell_angle_beta 90.00
_cell_angle_gamma 120.00
_space_group_name_H-M_alt 'R 3 m'
_space_group_IT_number 160
_space_group_name_Hall 'R 3 -2"'
loop_
_atom_site_label
_atom_site_type_symbol
_atom_site_fract_x
_atom_site_fract_y
_atom_site_fract_z
La1 La 0.0000 0.0000 0.0000
La2 La 0.0000 0.0000 0.2212
Pr1 Pr 0.0000 0.0000 0.4446
Ru1 Ru 0.0000 0.0000 0.6091
```


c.
## La2PrRu (PBE)

Data for crystalline La2PrRu at its relaxed geometry.

D(E_F) = 4.4 states/eV per cell
Magnetic moment = 0.00 μB/f.u.
Calculated volume = 122.6 Å³/f.u.

Cell and atoms, written as CIF:
```
data_La2PrRu
_cell_length_a 3.576
_cell_length_b 3.576
_cell_length_c 9.587
_cell_angle_alpha 90.00
_cell_angle_beta 90.00
_cell_angle_gamma 90.00
_space_group_name_H-M_alt 'P 4/m m m'
_space_group_IT_number 123
_space_group_name_Hall '-P 4 2'
loop_
_atom_site_label
_atom_site_type_symbol
_atom_site_fract_x
_atom_site_fract_y
_atom_site_fract_z
La1 La 0.000 0.000 0.179
Pr1 Pr 0.500 0.500 0.500
Ru1 Ru 0.500 0.500 0.000
```


Unit: kJ/mol of atoms. Relative energies: a 0.0; b 13.4; c 14.3.


a.
## LaPrS2 (PBE)

Data for crystalline LaPrS2 at its relaxed geometry.

D(E_F) = 2.4 states/eV per cell
Magnetic moment = 0.00 μB/f.u.
Calculated volume = 100.0 Å³/f.u.

Cell and atoms, written as CIF:
```
data_LaPrS2
_cell_length_a 4.0972
_cell_length_b 4.0972
_cell_length_c 13.7619
_cell_angle_alpha 90.00
_cell_angle_beta 90.00
_cell_angle_gamma 120.00
_space_group_name_H-M_alt 'P 63/m m c'
_space_group_IT_number 194
_space_group_name_Hall '-P 6c 2c'
loop_
_atom_site_label
_atom_site_type_symbol
_atom_site_fract_x
_atom_site_fract_y
_atom_site_fract_z
La1 La 0.0000 0.0000 0.0000
Pr1 Pr 0.3333 0.6667 0.2500
S1 S 0.3333 0.6667 0.6241
```


b.
## LaPrS2 (PBE)

Data for crystalline LaPrS2 at its relaxed geometry.

D(E_F) = 2.6 states/eV per cell
Magnetic moment = 0.00 μB/f.u.
Calculated volume = 101.2 Å³/f.u.

Cell and atoms, written as CIF:
```
data_LaPrS2
_cell_length_a 4.0492
_cell_length_b 4.0492
_cell_length_c 21.3849
_cell_angle_alpha 90.00
_cell_angle_beta 90.00
_cell_angle_gamma 120.00
_space_group_name_H-M_alt 'R 3 m'
_space_group_IT_number 160
_space_group_name_Hall 'R 3 -2"'
loop_
_atom_site_label
_atom_site_type_symbol
_atom_site_fract_x
_atom_site_fract_y
_atom_site_fract_z
La1 La 0.0000 0.0000 0.0000
Pr1 Pr 0.0000 0.0000 0.1775
S1 S 0.0000 0.0000 0.5868
S2 S 0.0000 0.0000 0.7570
```


Unit: kJ/mol of atoms. Relative energies: a 0.0; b 6.0.


a.
## LaPrS (PBE)

Data for crystalline LaPrS at its relaxed geometry.

D(E_F) = 4.0 states/eV per cell
Magnetic moment = 1.43 μB/f.u.
Calculated volume = 94.6 Å³/f.u.

Cell and atoms, written as CIF:
```
data_LaPrS
_cell_length_a 4.0592
_cell_length_b 4.0592
_cell_length_c 6.6316
_cell_angle_alpha 90.00
_cell_angle_beta 90.00
_cell_angle_gamma 120.00
_space_group_name_H-M_alt 'P 3 m 1'
_space_group_IT_number 156
_space_group_name_Hall 'P 3 -2"'
loop_
_atom_site_label
_atom_site_type_symbol
_atom_site_fract_x
_atom_site_fract_y
_atom_site_fract_z
La1 La 0.0000 0.0000 0.0000
Pr1 Pr 0.6667 0.3333 0.4933
S1 S 0.3333 0.6667 0.7450
```


b.
## LaPrS (PBE)

Data for crystalline LaPrS at its relaxed geometry.

D(E_F) = 11.9 states/eV per cell
Magnetic moment = 0.20 μB/f.u.
Calculated volume = 89.8 Å³/f.u.

Cell and atoms, written as CIF:
```
data_LaPrS
_cell_length_a 3.736
_cell_length_b 5.603
_cell_length_c 17.154
_cell_angle_alpha 90.00
_cell_angle_beta 90.00
_cell_angle_gamma 90.00
_space_group_name_H-M_alt 'I m m m'
_space_group_IT_number 71
_space_group_name_Hall '-I 2 2'
loop_
_atom_site_label
_atom_site_type_symbol
_atom_site_fract_x
_atom_site_fract_y
_atom_site_fract_z
La1 La 0.000 0.000 0.176
Pr1 Pr 0.000 0.247 0.500
S1 S 0.000 0.000 0.341
```


Unit: kJ/mol of atoms. Relative energies: a 0.0; b 47.1.


a.
## La3PrSb2 (PBE)

Data for crystalline La3PrSb2 at its relaxed geometry.

D(E_F) = 31.6 states/eV per cell
Magnetic moment = 0.02 μB/f.u.
Calculated volume = 223.6 Å³/f.u.

Cell and atoms, written as CIF:
```
data_La3PrSb2
_cell_length_a 7.385
_cell_length_b 15.087
_cell_length_c 8.028
_cell_angle_alpha 90.00
_cell_angle_beta 90.00
_cell_angle_gamma 90.00
_space_group_name_H-M_alt 'I b a m'
_space_group_IT_number 72
_space_group_name_Hall '-I 2 2c'
loop_
_atom_site_label
_atom_site_type_symbol
_atom_site_fract_x
_atom_site_fract_y
_atom_site_fract_z
La1 La 0.000 0.000 0.250
La2 La 0.000 0.293 0.250
Pr1 Pr 0.000 0.500 0.000
Sb1 Sb 0.174 0.146 0.000
```


b.
## La3PrSb2 (PBE)

Data for crystalline La3PrSb2 at its relaxed geometry.

D(E_F) = 6.9 states/eV per cell
Magnetic moment = 0.00 μB/f.u.
Calculated volume = 198.5 Å³/f.u.

Cell and atoms, written as CIF:
```
data_La3PrSb2
_cell_length_a 4.679
_cell_length_b 4.679
_cell_length_c 9.069
_cell_angle_alpha 90.00
_cell_angle_beta 90.00
_cell_angle_gamma 90.00
_space_group_name_H-M_alt 'P -4 m 2'
_space_group_IT_number 115
_space_group_name_Hall 'P -4 -2'
loop_
_atom_site_label
_atom_site_type_symbol
_atom_site_fract_x
_atom_site_fract_y
_atom_site_fract_z
La1 La 0.000 0.000 0.000
La2 La 0.000 0.500 0.643
Pr1 Pr 0.500 0.500 0.000
Sb1 Sb 0.000 0.500 0.277
```


Unit: kJ/mol of atoms. Relative energies: a 17.3; b 0.0.


a.
## LaPr3Sb3 (PBE)

Data for crystalline LaPr3Sb3 at its relaxed geometry.

D(E_F) = 29.9 states/eV per cell
Magnetic moment = 0.00 μB/f.u.
Calculated volume = 246.9 Å³/f.u.

Cell and atoms, written as CIF:
```
data_LaPr3Sb3
_cell_length_a 9.4619
_cell_length_b 9.4619
_cell_length_c 19.1066
_cell_angle_alpha 90.00
_cell_angle_beta 90.00
_cell_angle_gamma 120.00
_space_group_name_H-M_alt 'R -3'
_space_group_IT_number 148
_space_group_name_Hall '-R 3'
loop_
_atom_site_label
_atom_site_type_symbol
_atom_site_fract_x
_atom_site_fract_y
_atom_site_fract_z
La1 La 0.0000 0.0000 0.1665
Pr1 Pr 0.0053 0.7330 0.5881
Sb1 Sb 0.0052 0.6246 0.4213
```


b.
## LaPr3Sb3 (PBE)

Data for crystalline LaPr3Sb3 at its relaxed geometry.

D(E_F) = 30.3 states/eV per cell
Magnetic moment = 0.00 μB/f.u.
Calculated volume = 222.7 Å³/f.u.

Cell and atoms, written as CIF:
```
data_LaPr3Sb3
_cell_length_a 9.622
_cell_length_b 9.622
_cell_length_c 9.622
_cell_angle_alpha 90.00
_cell_angle_beta 90.00
_cell_angle_gamma 90.00
_space_group_name_H-M_alt 'P 21 3'
_space_group_IT_number 198
_space_group_name_Hall 'P 2ac 2ab 3'
loop_
_atom_site_label
_atom_site_type_symbol
_atom_site_fract_x
_atom_site_fract_y
_atom_site_fract_z
La1 La 0.070 0.430 0.570
Pr1 Pr 0.071 0.571 0.929
Pr2 Pr 0.180 0.180 0.180
Pr3 Pr 0.180 0.820 0.320
Sb1 Sb 0.000 0.251 0.877
```


Unit: kJ/mol of atoms. Relative energies: a 11.0; b 0.0.